First-principles (PBE) data for crystalline NbTl3Br at its relaxed geometry, as listed in Alexandria.

Lattice parameters (Å, degrees): 5.653 5.653 5.653 90.00 90.00 90.00
Element x y z (fractional)
Br1 0.500 0.500 0.500
Tl1 0.500 0.000 0.000
Nb1 0.000 0.000 0.000
Tl2 0.000 0.000 0.500
Tl3 0.000 0.500 0.000

Properties
relative energy among the computed polymorphs = 0.000 eV per atom


First-principles (PBE) data for crystalline Tm2NbBr at its relaxed geometry, as listed in Alexandria.

Lattice parameters (Å, degrees): 3.289 3.289 10.724 81.18 81.18 60.00
Element x y z (fractional)
Tm1 0.091 0.091 0.726
Tm2 0.909 0.909 0.274
Nb1 0.000 0.000 0.000
Br1 0.500 0.500 0.500


First-principles (PBE) data for crystalline TmNbBr at its relaxed geometry, as listed in Alexandria.

Lattice parameters (Å, degrees): 4.139 4.139 8.955 90.00 90.00 90.00
Element x y z (fractional)
Br1 0.500 0.500 0.000
Br2 0.000 0.000 0.000
Nb1 0.500 0.000 0.554
Tm1 0.500 0.000 0.225
Tm2 0.000 0.500 0.775
Nb2 0.000 0.500 0.446


First-principles (PBE) data for crystalline Nb2VBr at its relaxed geometry, as listed in Alexandria.

Lattice parameters (Å, degrees): 4.597 4.597 4.597 60.00 60.00 60.00
Element x y z (fractional)
V1 0.000 0.000 0.000
Br1 0.500 0.500 0.500
Nb1 0.250 0.250 0.250
Nb2 0.750 0.750 0.750

Properties
relative energy among the computed polymorphs = 0.000 eV per atom


First-principles (PBE) data for crystalline Nb3VBr at its relaxed geometry, as listed in Alexandria.

Lattice parameters (Å, degrees): 4.751 4.751 4.751 90.00 90.00 90.00
Element x y z (fractional)
Nb1 0.500 0.000 0.000
Nb2 0.000 0.500 0.000
Nb3 0.000 0.000 0.500
Br1 0.500 0.500 0.500
V1 0.000 0.000 0.000

Properties
relative energy among the computed polymorphs = 0.000 eV per atom


First-principles (PBE) data for crystalline Nb2V2Br7 at its relaxed geometry, as listed in Alexandria.

Lattice parameters (Å, degrees): 7.921 7.921 12.418 106.62 106.62 99.58
Element x y z (fractional)
V1 0.143 0.969 0.174
Br1 0.090 0.910 0.750
Br2 0.208 0.617 0.381
Br3 0.617 0.208 0.881
V2 0.857 0.031 0.826
Br4 0.229 0.424 0.807
V3 0.031 0.857 0.326
Nb1 0.910 0.359 0.839
Br5 0.424 0.229 0.307
Br6 0.905 0.730 0.969
Nb2 0.641 0.090 0.661
Nb3 0.090 0.641 0.161
Br7 0.270 0.095 0.531
Nb4 0.359 0.910 0.339
Br8 0.771 0.576 0.193
Br9 0.910 0.090 0.250
V4 0.969 0.143 0.674
Br10 0.730 0.905 0.469
Br11 0.792 0.383 0.619
Br12 0.383 0.792 0.119
Br13 0.095 0.270 0.031
Br14 0.576 0.771 0.693


The evaluated calculated density for the records listed, in turn: 7.223, 8.574, 7.399, 7.655, 6.342, 4.084 g/cm³.
The evaluated uncorrected formation energy for the records listed, in turn: 421, 136, 6, 699, 1178, -666 meV/atom.